Record 1
# InRe2Mo | the Alexandria database | PBE-GGA | optimized geometry
# * DOS at the Fermi energy: 2.8 states/eV/f.u.
# * volume: 16.4 A^3/atom
# * ΔH_f (0 K): 0.3899 eV per atom
data_InRe2Mo
_cell_length_a 3.182
_cell_length_b 4.531
_cell_length_c 9.077
_cell_angle_alpha 90.00
_cell_angle_beta 90.00
_cell_angle_gamma 90.00
_symmetry_space_group_name_H-M 'I m m m'
_symmetry_Int_Tables_number 71
_symmetry_space_group_name_Hall '-I 2 2'
loop_
_atom_site_label
_atom_site_type_symbol
_atom_site_fract_x
_atom_site_fract_y
_atom_site_fract_z
In1 In 0.000 0.000 0.000
Re1 Re 0.000 0.500 0.238
Mo1 Mo 0.000 0.000 0.500

Record 2
# ScCd2Rh | the Alexandria database | PBE-GGA | optimized geometry
# * DOS at the Fermi energy: 1.8 states/eV/f.u.
# * volume: 19.1 A^3/atom
# * ΔH_f (0 K): -0.2144 eV per atom
data_ScCd2Rh
_cell_length_a 5.561
_cell_length_b 8.644
_cell_length_c 3.178
_cell_angle_alpha 90.00
_cell_angle_beta 90.20
_cell_angle_gamma 90.00
_symmetry_space_group_name_H-M 'C 1 2/m 1'
_symmetry_Int_Tables_number 12
loop_
_symmetry_equiv_pos_as_xyz
'x,y,z'
'-x,-y,-z'
'-x,y,-z'
'x,-y,z'
'x+1/2,y+1/2,z'
'-x+1/2,-y+1/2,-z'
'-x+1/2,y+1/2,-z'
'x+1/2,-y+1/2,z'
loop_
_atom_site_label
_atom_site_type_symbol
_atom_site_fract_x
_atom_site_fract_y
_atom_site_fract_z
Sc1 Sc 0.000 0.000 0.000
Cd1 Cd 0.250 0.250 0.500
Rh1 Rh 0.000 0.500 0.000

Record 3
# SrLi2Lu | the Alexandria database | PBE-GGA | optimized geometry
# * DOS at the Fermi energy: 3.2 states/eV/f.u.
# * volume: 29.7 A^3/atom
# * energy relative to the lowest polymorph listed for this composition: 0.000 eV per atom
# * ΔH_f (0 K): 0.1537 eV per atom
data_SrLi2Lu
_cell_length_a 3.845
_cell_length_b 3.845
_cell_length_c 8.039
_cell_angle_alpha 90.00
_cell_angle_beta 90.00
_cell_angle_gamma 90.00
_symmetry_space_group_name_H-M 'P 4/m m m'
_symmetry_Int_Tables_number 123
_symmetry_space_group_name_Hall '-P 4 2'
loop_
_atom_site_label
_atom_site_type_symbol
_atom_site_fract_x
_atom_site_fract_y
_atom_site_fract_z
Sr1 Sr 0.000 0.000 0.000
Li1 Li 0.500 0.500 0.285
Lu1 Lu 0.000 0.000 0.500